Density functional theory data (GGA-PBE) for a relaxed LaTiMnP2 crystal.

Properties
The calculation puts the raw total energy at -7.612 eV per atom.

Cell: 3.854 3.854 12.229 Å, 90.00 90.00 90.00°
Space group I-4m2 (No. 119)
One atom of each set of equivalent atoms:
1 La 0.000 0.000 0.000
2 Ti 0.000 0.500 0.750
3 Mn 0.000 0.500 0.250
4 P 0.000 0.000 0.370